[1]
VASP calculation (GGA-PBEsol) on a geometry-optimized Sr2SbAs structure.

Geometry as POSCAR:
```
Sr2SbAs
1.0
-4.371 -2.561 -1.977
0.207 -5.337 -1.024
-2.763 -3.480 3.135
As Sb Sr
1 1 2
Direct
0.500 0.500 0.500
0.250 0.250 0.250
0.750 0.750 0.750
0.000 0.000 0.000
```

Results
E = -14.7 eV for the cell shown
M_tot = 0.000 μB/f.u.
Crystal system = cubic
Space-group type = F-43m
Fermi-level density of states = 3.72 states/eV per cell

[2]
VASP calculation (GGA-PBEsol) on a geometry-optimized SrSbAs2 structure.

Geometry as POSCAR:
```
SrSbAs2
1.0
4.063 0.000 0.000
0.000 4.541 -0.149
0.000 -1.979 5.841
As Sb Sr
2 1 1
Direct
0.000 0.690 0.844
0.500 0.973 0.343
0.000 0.619 0.406
0.500 0.218 0.907
```

Results
E = -18.4 eV for the cell shown
M_tot = 0.000 μB/f.u.
Crystal system = monoclinic
Space-group type = Pm
Fermi-level density of states = 2.28 states/eV per cell

[3]
VASP calculation (GGA-PBEsol) on a geometry-optimized SrSb3As structure.

Geometry as POSCAR:
```
SrSb3As
1.0
-2.132 -2.882 4.049
2.600 -4.402 -1.763
4.236 1.251 3.121
As Sr Sb
1 1 3
Direct
0.000 0.000 0.000
0.500 0.500 0.500
0.500 0.000 0.000
0.000 0.500 0.000
0.000 0.000 0.500
```

Results
E = -20.5 eV for the cell shown
M_tot = 0.000 μB/f.u.
Crystal system = cubic
Space-group type = Pm-3m
Fermi-level density of states = 4.05 states/eV per cell

[4]
VASP calculation (GGA-PBEsol) on a geometry-optimized Sr2SbAs structure.

Geometry as POSCAR:
```
Sr2SbAs
1.0
3.399 0.000 0.000
0.000 5.815 0.000
0.000 0.000 5.815
As Sr Sb
1 2 1
Direct
0.500 0.000 0.000
0.000 0.500 0.000
0.000 0.000 0.500
0.500 0.500 0.500
```

Results
E = -16.7 eV for the cell shown
M_tot = 0.000 μB/f.u.
Crystal system = tetragonal
Space-group type = P4/mmm
Fermi-level density of states = 2.82 states/eV per cell

[5]
VASP calculation (GGA-PBEsol) on a geometry-optimized Sr2SbAs structure.

Geometry as POSCAR:
```
Sr2SbAs
1.0
-0.056 4.509 -2.584
2.016 -4.521 -2.706
-3.006 -2.136 -3.662
Sb Sr As
1 2 1
Direct
0.000 0.000 0.000
0.750 0.500 0.750
0.250 0.500 0.250
0.500 0.000 0.500
```

Results
E = -16.8 eV for the cell shown
M_tot = 0.000 μB/f.u.
Crystal system = tetragonal
Space-group type = I4/mmm
Fermi-level density of states = 1.62 states/eV per cell

[6]
VASP calculation (GGA-PBEsol) on a geometry-optimized Sr2SbAs structure.

Geometry as POSCAR:
```
Sr2SbAs
1.0
4.538 0.000 0.000
0.000 4.538 0.000
-2.269 -2.269 5.671
Sr Sb As
2 1 1
Direct
0.000 0.000 0.000
0.750 0.250 0.500
0.250 0.750 0.500
0.500 0.500 0.000
```

Results
E = -16.4 eV for the cell shown
M_tot = 0.000 μB/f.u.
Crystal system = tetragonal
Space-group type = I-4m2
Fermi-level density of states = 1.94 states/eV per cell

> Look up the Fermi-level density of states of the fifth one.

1.62 states/eV per cell